(1)
# GGA-PBEsol PRu2Au, relaxed
# total energy = -6.97 eV per atom
data_PRu2Au
_chemical_formula_sum 'P1 Ru2 Au1'
_cell_length_a 4.3289
_cell_length_b 4.3289
_cell_length_c 4.3289
_cell_angle_alpha 60.00
_cell_angle_beta 60.00
_cell_angle_gamma 60.00
_space_group_name_H-M_alt 'P 1'
_space_group_IT_number 1
_space_group_name_Hall 'P 1'
loop_
_atom_site_label
_atom_site_fract_x
_atom_site_fract_y
_atom_site_fract_z
_atom_site_occupancy
Ru1 0.7500 0.7500 0.7500 1
P1 0.2500 0.2500 0.2500 1
Au1 0.5000 0.5000 0.5000 1
Ru2 0.0000 0.0000 0.0000 1

=====

(2)
# GGA-PBEsol PRuAu2, relaxed
# total energy = -5.47 eV per atom
data_PRuAu2
_chemical_formula_sum 'P1 Ru1 Au2'
_cell_length_a 2.7139
_cell_length_b 3.9960
_cell_length_c 5.6787
_cell_angle_alpha 90.00
_cell_angle_beta 90.00
_cell_angle_gamma 90.00
_space_group_name_H-M_alt 'P 1'
_space_group_IT_number 1
_space_group_name_Hall 'P 1'
loop_
_atom_site_label
_atom_site_fract_x
_atom_site_fract_y
_atom_site_fract_z
_atom_site_occupancy
Au1 0.0000 0.0000 0.2503 1
P1 0.5000 0.5000 0.0000 1
Au2 0.0000 0.0000 0.7497 1
Ru1 0.5000 0.5000 0.5000 1